1.
The following is a GGA-PBEsol calculation of a relaxed BiBr3N crystal, from the Alexandria database.

Structure (extended XYZ):
```
5
Lattice="-1.207 -4.417 1.083 4.497 -1.326 -0.394 0.675 0.934 4.562" Properties=species:S:1:pos:R:3 pbc="T T T"
Bi 1.983 -2.404 2.625
Br 2.249 -0.663 -0.197
Br 0.338 0.467 2.281
Br -0.603 -2.208 0.542
N 0.000 0.000 0.000
```

Results
Raw formation energy, meV/atom: 679
DFT total energy, eV for the cell shown: -15.03

2.
The following is a GGA-PBEsol calculation of a relaxed BiBrNO2 crystal, from the Alexandria database.

Structure (extended XYZ):
```
5
Lattice="-3.253 2.494 0.161 -2.487 -3.257 0.182 0.266 0.052 4.575" Properties=species:S:1:pos:R:3 pbc="T T T"
O -1.244 -1.628 0.091
O -1.626 1.247 0.080
Bi 0.000 0.000 0.000
Br -2.737 -0.355 2.459
N 0.133 0.026 2.288
```

Results
Raw formation energy, meV/atom: 722
DFT total energy, eV for the cell shown: -21.57

3.
The following is a GGA-PBEsol calculation of a relaxed BiTeBrN2 crystal, from the Alexandria database.

Structure (extended XYZ):
```
5
Lattice="-0.300 -4.198 -0.873 -0.092 -0.868 4.208 -5.411 0.394 -0.037" Properties=species:S:1:pos:R:3 pbc="T T T"
Te -2.706 0.197 -0.019
Bi -2.902 -2.336 1.649
Br 0.000 0.000 0.000
N -0.046 -0.434 2.104
N -0.150 -2.099 -0.436
```

Results
Raw formation energy, meV/atom: 1862
DFT total energy, eV for the cell shown: -17.43